# 1
Density functional theory data (GGA-PBE) for Sc2Ni6C after structural relaxation.

a b c (Å): 7.550 7.550 7.550
angles (deg): 90.00 90.00 90.00
Space group Fm-3m (No. 225)
One atom of each set of equivalent atoms:
1 Sc 0.250 0.250 0.250 (multiplicity 8)
2 Ni 0.000 0.000 0.245 (multiplicity 24)
3 C 0.000 0.000 0.500 (multiplicity 4)

Values from the calculation:
The calculation puts the size of the total moment at 0.00 μB per cell. As for the raw total energy: -239.95 eV per cell. The mass density comes out at 7.0 Mg/m³. The formation energy is -0.379 eV/atom.

---

# 2
Density functional theory data (GGA-PBE) for ScNiC2 after structural relaxation.

a b c (Å): 3.374 3.374 7.257
angles (deg): 90.00 90.00 90.00
Space group P4/nmm (No. 129, origin choice 2)
One atom of each set of equivalent atoms:
1 Sc 0.250 0.250 0.157 (multiplicity 2)
2 Ni 0.250 0.750 0.500 (multiplicity 2)
3 C 0.250 0.250 0.664 (multiplicity 2)
4 C 0.250 0.250 0.853 (multiplicity 2)

Values from the calculation:
The calculation puts the size of the total moment at 0.00 μB per cell. As for the raw total energy: -63.38 eV per cell. The mass density comes out at 5.1 Mg/m³. The formation energy is -0.282 eV/atom.

---

# 3
Density functional theory data (GGA-PBE) for ScNi2C after structural relaxation.

a b c (Å): 4.322 4.322 12.109
angles (deg): 90.00 90.00 90.00
Space group I-42d (No. 122)
One atom of each set of equivalent atoms:
1 Sc 0.000 0.000 0.000 (multiplicity 4)
2 Ni 0.069 0.250 0.625 (multiplicity 8)
3 C 0.000 0.000 0.500 (multiplicity 4)

Values from the calculation:
The calculation puts the size of the total moment at 0.00 μB per cell. As for the raw total energy: -105.86 eV per cell. The mass density comes out at 5.1 Mg/m³. The formation energy is 0.164 eV/atom.

---

# 4
Density functional theory data (GGA-PBE) for Sc2NiC2 after structural relaxation.

a b c (Å): 6.670 6.670 2.813
angles (deg): 90.00 90.00 90.00
Space group P4/mbm (No. 127)
One atom of each set of equivalent atoms:
1 Sc 0.145 0.355 0.000 (multiplicity 4)
2 Ni 0.000 0.000 0.000 (multiplicity 2)
3 C 0.170 0.670 0.500 (multiplicity 4)

Values from the calculation:
The calculation puts the size of the total moment at 0.00 μB per cell. As for the raw total energy: -68.23 eV per cell. The mass density comes out at 4.6 Mg/m³. The value obtained for the energy above the lowest structure with this stoichiometry is 904 meV/atom. The formation energy is 0.555 eV/atom.

---

Question: Which formula does entry 3 have?
Answer: ScNi2C